1.
Material: KSeF3
Method: DFT, PBE-GGA
State: optimized geometry

a = 4.832 Å, b = 4.832 Å, c = 4.832 Å
α = 90.00°, β = 90.00°, γ = 90.00°
Last column: magnetic moment on the atom in μB.
Fractional coordinates of all 5 atoms:
1 K 0.500 0.500 0.500  -0.04
2 Se 0.000 0.000 0.000  1.60
3 F 0.000 0.500 0.500  -0.15
4 F 0.500 0.000 0.500  -0.15
5 F 0.500 0.500 0.000  -0.15

Calculated values
Space group: Pm-3m
E_tot: -13.63 eV per cell
Formation energy from raw total energies: -66.3 kJ/mol of atoms
M_tot: 2.0 μB/cell
E above lowest polymorph: 1253 meV per atom

---

2.
Material: SrCd4Pd4
Method: DFT, PBE-GGA
State: optimized geometry

a = 5.043 Å, b = 9.242 Å, c = 9.242 Å
α = 90.00°, β = 90.00°, γ = 90.00°
Fractional coordinates of all 18 atoms:
1 Sr 0.000 0.000 0.000
2 Sr 0.500 0.500 0.500
3 Cd 0.499 0.382 0.898
4 Cd 0.999 0.602 0.882
5 Cd 0.499 0.618 0.102
6 Cd 0.001 0.118 0.602
7 Cd 0.501 0.898 0.618
8 Cd 0.001 0.882 0.398
9 Cd 0.999 0.398 0.118
10 Cd 0.501 0.102 0.382
11 Pd 0.501 0.806 0.319
12 Pd 0.501 0.194 0.681
13 Pd 0.001 0.819 0.694
14 Pd 0.999 0.306 0.819
15 Pd 0.999 0.694 0.181
16 Pd 0.499 0.319 0.194
17 Pd 0.499 0.681 0.806
18 Pd 0.001 0.181 0.306

Calculated values
Space group: P4_2/n
E_tot: -56.90 eV per cell
M_tot: 0.0 μB/cell

---

3.
Material: Ac8Si5Sn
Method: DFT, PBE-GGA
State: optimized geometry

a = 8.480 Å, b = 8.480 Å, c = 8.480 Å
α = 109.40°, β = 109.62°, γ = 109.40°
Fractional coordinates of all 14 atoms:
1 Ac 0.119 0.756 0.011
2 Ac 0.989 0.108 0.745
3 Ac 0.749 0.249 0.374
4 Ac 0.626 0.375 0.875
5 Ac 0.500 0.625 0.251
6 Ac 0.637 0.892 0.881
7 Ac 0.255 0.244 0.363
8 Ac 0.125 0.751 0.500
9 Si 0.000 0.374 0.124
10 Si 0.876 0.877 0.250
11 Si 0.750 0.626 0.627
12 Si 0.500 0.000 0.500
13 Si 0.373 0.123 0.000
14 Sn 0.250 0.500 0.750

Calculated values
Space group: I-4
E_tot: -71.57 eV per cell
Formation energy from raw total energies: -52.3 kJ/mol of atoms
M_tot: 0.0 μB/cell

---

4.
Material: Y2MnZn
Method: DFT, PBE-GGA
State: optimized geometry

a = 5.057 Å, b = 5.057 Å, c = 3.546 Å
α = 90.00°, β = 90.00°, γ = 90.09°
Last column: magnetic moment on the atom in μB.
Fractional coordinates of all 4 atoms:
1 Mn 0.000 0.500 0.500  3.47
2 Y 0.000 0.000 0.000  -0.17
3 Y 0.500 0.500 0.000  -0.17
4 Zn 0.500 0.000 0.500  -0.02

Calculated values
Space group: Cmmm
E_tot: -23.59 eV per cell
M_tot: 3.1 μB/cell